Record 1
Compound: CaCeInRh
Source: the Alexandria database
Functional: GGA-PBE
Structure: relaxed

Output
DFT formation energy in eV/atom: -0.3557
E_tot in eV/cell: -19.45
Magnetization in μB per atom: 0.127
Density of states at the Fermi level in states/eV/f.u.: 7.01

Cell: 5.162 5.162 5.162 Å, 60.00 60.00 60.00°
Element x y z (fractional)
1 Ca 0.000 0.000 0.000
2 Ce 0.500 0.500 0.500
3 In 0.750 0.750 0.750
4 Rh 0.250 0.250 0.250

Record 2
Compound: TiRe2N
Source: the Alexandria database
Functional: GGA-PBE
Structure: relaxed

Output
E_tot in eV/cell: -82.70
Formation energy without anion corrections in meV/atom: -58
Magnetization in μB per atom: 0.000
Density of states at the Fermi level in states/eV/f.u.: 3.05

Cell: 5.393 5.393 5.393 Å, 99.72 99.72 131.49°
Element x y z (fractional)
1 Ti 0.000 0.000 0.000
2 Ti 0.750 0.250 0.500
3 Re 0.236 0.625 0.111
4 Re 0.375 0.486 0.611
5 Re 0.514 0.125 0.889
6 Re 0.875 0.764 0.389
7 N 0.250 0.750 0.500
8 N 0.500 0.500 0.000

> Among the records above, which one has the highest magnetization?

CaCeInRh